{"formula": "CsNdSeBr", "functional": "PBE-GGA", "state": "optimized geometry", "formation_energy_uncorrected_ev_per_atom": -1.5190, "total_magnetization_mub_per_cell": 0.0, "cell": [[-2.9861, 0.2928, -3.0959], [0.5503, -3.7209, 2.1147], [-4.1059, 3.5494, 7.3108]], "species": ["Cs", "Nd", "Se", "Br"], "frac_coords": [[0.4869, 0.1410, 0.6442], [0.1212, 0.9590, 0.0948], [0.3351, 0.5651, 0.9154], [0.9347, 0.3657, 0.3153]]}